VASP calculation (PBE+U) on Cs2InFeF6 after structural relaxation.

```
10
Lattice="0.000 4.652 4.652 4.652 0.000 4.652 4.652 4.652 0.000" Properties=species:S:1:pos:R:3 pbc="T T T"
Cs 2.326 2.326 2.326
Cs 6.978 6.978 6.978
In 0.000 0.000 0.000
Fe 4.652 4.652 4.652
F 4.652 4.652 2.675
F 4.652 2.675 4.652
F 6.629 4.652 4.652
F 2.675 4.652 4.652
F 4.652 6.629 4.652
F 4.652 4.652 6.629
```

Summary:
Magnetic moment ... 0.500 μB per atom
Symmetry ... Fm-3m
Volume ... 20.13 Å³/atom
Electronic total energy ... -4.636 eV per atom